# PBE InW2Se, optimized geometry
data_InW2Se
_chemical_formula_sum 'In4 W8 Se4'
_space_group_name_H-M_alt 'I -4 2 d'
_space_group_IT_number 122
_space_group_name_Hall 'I -4 2bw'
_cell_length_a 4.066
_cell_length_b 4.066
_cell_length_c 19.057
_cell_angle_alpha 90.00
_cell_angle_beta 90.00
_cell_angle_gamma 90.00
loop_
_atom_site_label
_atom_site_fract_x
_atom_site_fract_y
_atom_site_fract_z
_atom_site_occupancy
In1 0.000 0.000 0.000 1
W1 0.200 0.250 0.625 1
Se1 0.000 0.000 0.500 1
# volume	19.69	Å³/atom
# energy relative to the elements, uncorrected	0.851	eV per atom
# DFT total energy	-0.5278	Ry/atom
# N(E_F)	2.63	states/eV/f.u.
# distance to the lowest polymorph of the same formula	2.20	eV per formula unit